Below is a geometry-optimized BaCoNi2 structure, with properties calculated at the GGA-PBE level.

Cell: 4.947 4.947 4.947 Å, 129.86 129.86 73.63°
Atoms (fractional coordinates):
Ba  0.000  0.000  0.000
Co  0.250  0.750  0.500
Ni  0.500  0.500  0.000
Ni  0.750  0.250  0.500

- E_form: 326 kJ/mol of formula units
- Total energy: -4.303 eV per atom
- Total magnetization: 1.85 μB per cell